[1]
A relaxed structure of Pr5GeAs4, computed with PBE.

abc: 6.0941 7.4663 7.4663
angles: 80.41 65.91 65.91
Positions (direct):
As1 0.6007 0.5998 0.2008
As2 0.4013 0.4002 0.7992
As3 0.2005 0.2008 0.4002
As4 0.8015 0.7992 0.5998
Ge1 0.0011 0.0000 0.0000
Pr1 0.8991 0.4050 0.7989
Pr2 0.5011 0.0000 0.0000
Pr3 0.3041 0.7989 0.5950
Pr4 0.6980 0.2011 0.4050
Pr5 0.1029 0.5950 0.2011

Calculated values
* crystal system: tetragonal
* formation energy from the elements: -1.32 eV per atom

[2]
A relaxed structure of CdFe2P, computed with PBE.

abc: 4.1567 4.1567 4.1567
angles: 60.00 60.00 60.00
Positions (direct):
Fe1 0.2500 0.2500 0.2500
Fe2 0.7500 0.7500 0.7500
Cd1 0.5000 0.5000 0.5000
P1 0.0000 0.0000 0.0000

Calculated values
* crystal system: cubic
* ΔE to the lowest computed polymorph: 474.5 meV/atom
* formation energy from the elements: 0.44 eV per atom

[3]
A relaxed structure of CeSi2Ag2, computed with PBE.

abc: 4.1569 4.1653 11.4182
angles: 100.51 100.49 90.00
Each line ends with the local moment (μB).
Positions (direct):
Ce1 0.8276 0.5776 0.6552  0.37
Ce2 0.1724 0.4224 0.3448  0.37
Si1 0.6189 0.8689 0.2378  0.00
Si2 0.3811 0.1311 0.7622  0.00
Si3 0.7240 0.9740 0.4480  0.00
Si4 0.2760 0.0260 0.5520  0.00
Ag1 0.9525 0.2025 0.9049  0.00
Ag2 0.0475 0.7975 0.0951  0.00
Ag3 0.4507 0.7007 0.9015  0.00
Ag4 0.5493 0.2993 0.0985  0.00

Calculated values
* crystal system: orthorhombic
* ΔE to the lowest computed polymorph: 2.1 meV/atom
* raw formation energy: -0.386 eV/atom

[4]
A relaxed structure of Ba3Mg4Tl2, computed with PBE.

abc: 5.4064 6.8361 10.2419
angles: 111.84 90.00 113.29
Positions (direct):
Mg1 0.7189 0.4378 0.0591
Mg2 0.9137 0.8274 0.5878
Mg3 0.2811 0.5622 0.9409
Mg4 0.0863 0.1726 0.4122
Tl1 0.3690 0.7381 0.7055
Tl2 0.6310 0.2619 0.2945
Ba1 0.6533 0.3065 0.6738
Ba2 0.0000 0.0000 0.0000
Ba3 0.3467 0.6935 0.3262

Calculated values
* crystal system: monoclinic
* formation energy from the elements: -0.17 eV per atom

[5]
A relaxed structure of BeNbH2, computed with PBE.

abc: 3.4979 3.4979 3.4979
angles: 60.00 60.00 60.00
Positions (direct):
Nb1 0.5000 0.5000 0.5000
H1 0.2500 0.2500 0.2500
H2 0.7500 0.7500 0.7500
Be1 0.0000 0.0000 0.0000

Calculated values
* crystal system: cubic
* ΔE to the lowest computed polymorph: 29.2 meV/atom

[6]
A relaxed structure of Ac2SmAg3Hg12, computed with PBE.

abc: 9.5194 9.5194 9.5194
angles: 57.83 57.83 57.83
Positions (direct):
Hg1 0.8699 0.3689 0.3689
Hg2 0.3689 0.3689 0.8699
Hg3 0.1405 0.1405 0.5834
Hg4 0.6311 0.6311 0.1301
Hg5 0.1405 0.5834 0.1405
Hg6 0.8595 0.8595 0.4166
Hg7 0.8595 0.4166 0.8595
Hg8 0.5834 0.1405 0.1405
Hg9 0.1301 0.6311 0.6311
Hg10 0.4166 0.8595 0.8595
Hg11 0.3689 0.8699 0.3689
Hg12 0.6311 0.1301 0.6311
Ac1 0.3868 0.3868 0.3868
Ac2 0.6132 0.6132 0.6132
Ag1 0.5000 0.0000 0.0000
Ag2 0.0000 0.0000 0.5000
Ag3 0.0000 0.5000 0.0000
Sm1 0.0000 0.0000 0.0000

Calculated values
* crystal system: trigonal
* formation energy from the elements: 0.06 eV per atom

[7]
A relaxed structure of Tb7HoTh3, computed with PBE.

abc: 8.5484 7.0837 7.0837
angles: 120.00 90.00 90.00
Positions (direct):
Ho1 0.4558 0.3333 0.6667
Tb1 0.4527 0.8320 0.6640
Tb2 0.4527 0.8320 0.1680
Tb3 0.1140 0.1681 0.3363
Tb4 0.1101 0.6667 0.3333
Tb5 0.1140 0.1681 0.8319
Tb6 0.1140 0.6637 0.8319
Tb7 0.4527 0.3360 0.1680
Th1 0.7830 0.4997 0.9994
Th2 0.7830 0.4997 0.5003
Th3 0.7830 0.0006 0.5003

Calculated values
* crystal system: trigonal
* ΔE to the lowest computed polymorph: 55.4 meV/atom
* formation energy from the elements: 0.21 eV per atom

[8]
A relaxed structure of NaCa2Tl5, computed with PBE.

abc: 5.5279 5.5279 8.5813
angles: 108.79 108.79 90.00
Positions (direct):
Ca1 0.7450 0.7450 0.4900
Ca2 0.2550 0.2550 0.5100
Na1 0.0000 0.0000 0.0000
Tl1 0.8779 0.3779 0.7558
Tl2 0.6221 0.1221 0.2442
Tl3 0.3779 0.8779 0.7558
Tl4 0.5000 0.5000 0.0000
Tl5 0.1221 0.6221 0.2442

Calculated values
* crystal system: tetragonal
* ΔE to the lowest computed polymorph: 15.8 meV/atom
* formation energy from the elements: -0.23 eV per atom

[9]
A relaxed structure of Cd2TeCl, computed with PBE.

abc: 3.1304 5.2588 6.1704
angles: 90.00 90.00 90.00
Positions (direct):
Cd1 0.5000 0.5000 0.0000
Cd2 0.0000 0.0000 0.0000
Te1 0.0000 0.5000 0.5000
Cl1 0.5000 0.0000 0.5000

Calculated values
* crystal system: orthorhombic
* ΔE to the lowest computed polymorph: 456.3 meV/atom
* raw formation energy: -0.010 eV/atom

[10]
A relaxed structure of MgBe2Te, computed with PBE.

abc: 6.3234 4.5030 3.5762
angles: 88.32 58.41 119.61
Positions (direct):
Be1 0.0000 0.0000 0.0000
Be2 0.5000 0.0000 0.5000
Mg1 0.0000 0.5000 0.5000
Te1 0.5000 0.5000 0.0000

Calculated values
* crystal system: monoclinic
* ΔE to the lowest computed polymorph: 345.2 meV/atom
* raw formation energy: 0.534 eV/atom

[11]
A relaxed structure of SrLi3, computed with PBE.

abc: 6.3378 6.3378 20.1194
angles: 90.00 90.00 120.00
Positions (direct):
Li1 0.6667 0.3333 0.2500
Li2 0.8335 0.1665 0.1298
Li3 0.0000 0.0000 0.2500
Li4 0.1665 0.8335 0.6298
Li5 0.8335 0.6669 0.3702
Li6 0.0000 0.0000 0.7500
Li7 0.3333 0.6667 0.7500
Li8 0.0000 0.0000 0.0000
Li9 0.1665 0.3331 0.6298
Li10 0.8335 0.6669 0.1298
Li11 0.6669 0.8335 0.6298
Li12 0.1665 0.8335 0.8702
Li13 0.8335 0.1665 0.3702
Li14 0.0000 0.0000 0.5000
Li15 0.6669 0.8335 0.8702
Li16 0.3331 0.1665 0.1298
Li17 0.1665 0.3331 0.8702
Li18 0.3331 0.1665 0.3702
Sr1 0.3333 0.6667 0.4597
Sr2 0.6667 0.3333 0.5403
Sr3 0.3333 0.6667 0.0403
Sr4 0.6667 0.3333 0.9597
Sr5 0.6667 0.3333 0.7500
Sr6 0.3333 0.6667 0.2500

Calculated values
* crystal system: hexagonal
* formation energy from the elements: 0.01 eV per atom

[12]
A relaxed structure of ZrTcIr2, computed with PBE.

abc: 2.8475 2.8475 7.8977
angles: 90.00 90.00 89.99
Positions (direct):
Zr1 0.5000 0.5000 0.7500
Tc1 0.5000 0.5000 0.2500
Ir1 0.0000 0.0000 0.4793
Ir2 0.0000 0.0000 0.0207

Calculated values
* crystal system: tetragonal
* ΔE to the lowest computed polymorph: 83.5 meV/atom
* formation energy from the elements: -0.38 eV per atom

[13]
A relaxed structure of Si2TcAs, computed with PBE.

abc: 4.3932 4.3932 4.8587
angles: 85.02 85.02 42.04
Positions (direct):
As1 0.7500 0.7500 0.7500
Si1 0.5242 0.5242 0.4435
Si2 0.9758 0.9758 0.0565
Tc1 0.2500 0.2500 0.2500

Calculated values
* crystal system: monoclinic
* raw formation energy: 0.109 eV/atom

[14]
A relaxed structure of TiMoRhCl2, computed with PBE.

abc: 4.7305 4.8972 4.7305
angles: 90.00 90.00 90.00
Each line ends with the local moment (μB).
Positions (direct):
Mo1 0.0000 0.5000 0.0000  2.03
Cl1 0.0000 0.0000 0.5000  0.03
Cl2 0.5000 0.0000 0.0000  0.03
Rh1 0.0000 0.0000 0.0000  -0.14
Ti1 0.5000 0.5000 0.5000  -1.66

Calculated values
* crystal system: tetragonal
* raw formation energy: 0.899 eV/atom

[15]
A relaxed structure of BaScCu2N, computed with PBE.

abc: 5.3679 4.4508 5.3679
angles: 90.00 90.00 90.00
Positions (direct):
N1 0.0000 0.5000 0.0000
Cu1 0.5000 0.0000 0.0000
Cu2 0.0000 0.0000 0.5000
Ba1 0.0000 0.0000 0.0000
Sc1 0.5000 0.5000 0.5000

Calculated values
* crystal system: tetragonal
* raw formation energy: 1.341 eV/atom

[16]
A relaxed structure of ZnFeP2, computed with PBE.

abc: 5.2150 5.2150 6.4342
angles: 66.09 66.09 90.00
Positions (direct):
P1 0.1718 0.6250 0.2500
P2 0.5782 0.1250 0.2500
P3 0.8750 0.8282 0.7500
P4 0.3750 0.4218 0.7500
Zn1 0.7500 0.2500 0.5000
Zn2 0.0000 0.0000 0.0000
Fe1 0.2500 0.7500 0.5000
Fe2 0.5000 0.5000 0.0000

Calculated values
* crystal system: tetragonal
* formation energy from the elements: -0.01 eV per atom

[17]
A relaxed structure of Gd2LuMg, computed with PBE.

abc: 3.4261 3.4261 12.3674
angles: 82.04 82.04 60.00
Each line ends with the local moment (μB).
Positions (direct):
Lu1 0.5000 0.5000 0.5000  -0.13
Gd1 0.9102 0.9102 0.2693  7.18
Gd2 0.0898 0.0898 0.7307  7.18
Mg1 0.0000 0.0000 0.0000  0.00

Calculated values
* crystal system: trigonal
* ΔE to the lowest computed polymorph: 211.9 meV/atom
* formation energy from the elements: 0.19 eV per atom

[18]
A relaxed structure of Ho2Sc2In7, computed with PBE.

abc: 7.3698 6.0037 7.3698
angles: 90.00 96.60 90.00
Positions (direct):
Sc1 0.2674 0.0000 0.7326
Sc2 0.7326 0.0000 0.2674
In1 0.9998 0.2595 0.5003
In2 0.0002 0.7405 0.4997
In3 0.4997 0.2595 0.0002
In4 0.0000 0.0000 0.0000
In5 0.5003 0.7405 0.9998
In6 0.5002 0.7404 0.4998
In7 0.4998 0.2596 0.5002
Ho1 0.8081 0.5000 0.8081
Ho2 0.1919 0.5000 0.1919

Calculated values
* crystal system: orthorhombic
* formation energy from the elements: 0.05 eV per atom

[19]
A relaxed structure of HoCdCu10, computed with PBE.

abc: 4.0845 4.9747 8.6133
angles: 90.00 90.00 90.00
Positions (direct):
Cu1 0.0000 0.0000 0.6584
Cu2 0.5000 0.0000 0.5000
Cu3 0.0000 0.5000 0.8232
Cu4 0.5000 0.5000 0.0000
Cu5 0.5000 0.7534 0.2481
Cu6 0.0000 0.0000 0.3416
Cu7 0.0000 0.5000 0.1768
Cu8 0.5000 0.7534 0.7519
Cu9 0.5000 0.2466 0.7519
Cu10 0.5000 0.2466 0.2481
Cd1 0.0000 0.5000 0.5000
Ho1 0.0000 0.0000 0.0000

Calculated values
* crystal system: orthorhombic
* formation energy from the elements: -0.07 eV per atom

[20]
A relaxed structure of Pm2PrHo8, computed with PBE.

abc: 5.5079 8.1102 9.4127
angles: 115.52 107.00 90.00
Positions (direct):
Pr1 0.5000 0.0000 0.0000
Pm1 0.8000 0.3001 0.6002
Pm2 0.2000 0.6999 0.3998
Ho1 0.3608 0.5678 0.7217
Ho2 0.6393 0.8461 0.2784
Ho3 0.0000 0.7057 0.0000
Ho4 0.6392 0.4322 0.2783
Ho5 0.3607 0.1539 0.7216
Ho6 0.1615 0.1615 0.3230
Ho7 0.0000 0.2943 0.0000
Ho8 0.8385 0.8385 0.6770

Calculated values
* crystal system: orthorhombic
* ΔE to the lowest computed polymorph: 0.0 meV/atom
* formation energy from the elements: 0.11 eV per atom

[21]
A relaxed structure of In2GaH2, computed with PBE.

abc: 3.5189 3.5189 7.1084
angles: 75.67 75.67 90.00
Positions (direct):
Ga1 0.0000 0.0000 0.0000
H1 0.7500 0.2500 0.5000
H2 0.2500 0.7500 0.5000
In1 0.3542 0.3542 0.2917
In2 0.6458 0.6458 0.7083

Calculated values
* electronic total energy: -2.739 eV/atom
* crystal system: tetragonal

[22]
A relaxed structure of FeSiPb3, computed with PBE.

abc: 5.3663 5.3663 5.3663
angles: 90.00 90.00 90.00
Each line ends with the local moment (μB).
Positions (direct):
Pb1 0.0000 0.5000 0.0000  -0.04
Pb2 0.5000 0.0000 0.0000  -0.04
Pb3 0.0000 0.0000 0.5000  -0.02
Fe1 0.5000 0.5000 0.5000  3.20
Si1 0.0000 0.0000 0.0000  0.00

Calculated values
* crystal system: cubic
* ΔE to the lowest computed polymorph: 437.5 meV/atom
* raw formation energy: 1.074 eV/atom

[23]
A relaxed structure of Hf4Ru, computed with PBE.

abc: 6.6236 6.6236 6.6223
angles: 105.49 105.49 117.76
Positions (direct):
Ru1 0.5802 0.0802 0.5000
Ru2 0.3302 0.3302 0.0000
Hf1 0.2736 0.5321 0.3465
Hf2 0.1286 0.4748 0.7408
Hf3 0.7248 0.8786 0.2408
Hf4 0.1771 0.9356 0.1535
Hf5 0.7340 0.3878 0.2592
Hf6 0.7821 0.0236 0.8465
Hf7 0.1856 0.9271 0.6535
Hf8 0.6378 0.4840 0.7592

Calculated values
* crystal system: tetragonal
* ΔE to the lowest computed polymorph: 0.0 meV/atom
* formation energy from the elements: -0.05 eV per atom

[24]
A relaxed structure of IrPbW2, computed with PBE.

abc: 5.1796 6.1954 2.9024
angles: 61.73 90.18 117.73
Positions (direct):
Ir1 0.5000 0.5000 0.0000
W1 0.0000 0.0000 0.0000
W2 0.0000 0.5000 0.5000
Pb1 0.5000 0.0000 0.5000

Calculated values
* crystal system: monoclinic
* formation energy from the elements: 0.77 eV per atom

[25]
A relaxed structure of K2IrRh, computed with PBE.

abc: 6.0558 6.0558 2.7797
angles: 89.90 89.90 124.70
Each line ends with the local moment (μB).
Positions (direct):
Rh1 0.5000 0.0000 0.5000  0.61
K1 0.0000 0.0000 0.0000  -0.01
K2 0.5000 0.5000 0.0000  -0.01
Ir1 0.0000 0.5000 0.5000  0.50

Calculated values
* crystal system: monoclinic
* ΔE to the lowest computed polymorph: 490.9 meV/atom
* formation energy from the elements: 0.87 eV per atom